Record 1
Entry from Alexandria: a relaxed structure of Ni2Hg2Cl7 (PBE-GGA). Values from VASP.

Cell and atoms, written as Quantum ESPRESSO input:
```
&SYSTEM
  ibrav = 0, nat = 22, ntyp = 3
/
ATOMIC_SPECIES
Ni 58.69 Ni.upf
Hg 200.59 Hg.upf
Cl 35.45 Cl.upf
CELL_PARAMETERS angstrom
4.7643 -4.8586 0.0000
4.7643 4.8586 0.0000
-2.8830 0.0000 12.2667
ATOMIC_POSITIONS angstrom
Ni 0.0157 0.9515 6.0214
Ni -1.4258 -0.9515 12.1547
Ni 8.0715 0.9515 0.1120
Ni 6.6300 -0.9515 6.2454
Hg 2.0688 2.3990 2.2753
Hg 6.0184 2.3990 3.8580
Hg 0.6273 -2.3990 8.4087
Hg 4.5769 -2.3990 9.9914
Cl 0.3406 0.3151 1.5250
Cl 1.2260 2.1358 7.6544
Cl -1.1009 -0.3151 7.6583
Cl 0.2189 0.6565 11.5980
Cl 1.6604 -0.6565 5.4647
Cl 4.0436 1.0564 3.0667
Cl 3.9782 2.1358 10.7457
Cl 2.6674 -2.1358 1.5210
Cl 2.6021 -1.0564 9.2000
Cl 4.9853 0.6565 6.8021
Cl 6.4268 -0.6565 0.6687
Cl 7.7466 0.3151 4.6084
Cl 5.4197 -2.1358 4.6123
Cl 6.3051 -0.3151 10.7418
```


Record 2
Entry from Alexandria: a relaxed structure of TaPbCl2 (PBE-GGA). Values from VASP.

The calculation puts the energy above the most stable polymorph in this dataset at 261 meV per atom.

Cell and atoms, written as Quantum ESPRESSO input:
```
&SYSTEM
  ibrav = 0, nat = 4, ntyp = 3
/
ATOMIC_SPECIES
Ta 180.95 Ta.upf
Pb 207.20 Pb.upf
Cl 35.45 Cl.upf
CELL_PARAMETERS angstrom
1.6445 0.9495 9.9155
-1.6445 0.9495 9.9155
0.0000 -1.8989 9.9155
ATOMIC_POSITIONS angstrom
Ta 0.0000 0.0000 0.0000
Pb 0.0000 0.0000 14.8733
Cl 0.0000 0.0000 2.3478
Cl 0.0000 0.0000 27.3988
```


Number 1: ΔE_f (raw) -478 meV/atom. Number 2: ΔE_f (raw) -227 meV/atom.